DFT (GGA-PBE) results for an optimized crystal structure of NaPrNb4N8.

Cell lengths 6.4001, 6.4001, 6.5990 Å; angles 60.99, 60.99, 60.00 degrees
Element x y z (fractional)
Na 0.9947 0.9947 0.0159
Pr 0.3753 0.3753 0.8741
Nb 0.6221 0.6221 0.1338
Nb 0.0020 0.4844 0.5116
Nb 0.4844 0.0020 0.5116
Nb 0.0020 0.0020 0.5116
N 0.2470 0.8103 0.6957
N 0.8103 0.2470 0.6957
N 0.2470 0.2470 0.6957
N 0.2336 0.2336 0.2992
N 0.7340 0.2531 0.2789
N 0.2531 0.7340 0.2789
N 0.7340 0.7340 0.2789
N 0.7605 0.7605 0.7184

Energy relative to the elements, uncorrected in eV per atom: -0.7286
Total magnetization in Bohr magnetons per cell: 0.0



DFT (GGA-PBE) results for an optimized crystal structure of AlFeCu2.

Cell lengths 4.9998, 4.9998, 4.9998 Å; angles 148.41, 130.09, 60.28 degrees
Each line ends with the local moment (μB).
Element x y z (fractional)
Fe 0.2500 0.7500 0.5000  1.99
Cu 0.0001 0.0001 0.0000  0.02
Cu 0.4999 0.4999 0.0000  0.02
Al 0.7500 0.2500 0.5000  -0.04

Total magnetization in Bohr magnetons per cell: 1.9
E_form in eV per formula unit: -0.155